The following is a GGA-PBE calculation of crystalline CrIr at its relaxed geometry, from Alexandria.

Calculated values
Energy relative to the elements = 515 meV per atom
Space-group type = I4/m
N(E_F) = 1.16 states/eV/f.u.
Total magnetization = 0.0000 μB/atom
Energy = -8.73 eV per atom

Cell: 10.0925 10.0925 2.7636 Å, 90.00 90.00 90.00°
Last column: nearest neighbours and their distance in Å.
Element x y z (fractional)
1 Cr 0.3303 0.7259 0.0000  2 Cr 2.18
2 Cr 0.2259 0.1697 0.5000  2 Cr 2.18
3 Ir 0.8459 0.4421 0.0000  4 Cr 2.46-2.60, 4 Ir 2.73
4 Ir 0.0579 0.3459 0.5000  4 Cr 2.46-2.60, 4 Ir 2.73
5 Cr 0.2741 0.3303 0.0000  2 Cr 2.18
6 Ir 0.3459 0.9421 0.5000  4 Cr 2.46-2.60, 4 Ir 2.73
7 Cr 0.6697 0.2741 0.0000  2 Cr 2.18
8 Ir 0.5579 0.8459 0.0000  4 Cr 2.46-2.60, 4 Ir 2.73
9 Ir 0.1541 0.5579 0.0000  4 Cr 2.46-2.60, 4 Ir 2.73
10 Ir 0.6541 0.0579 0.5000  4 Cr 2.46-2.60, 4 Ir 2.73
11 Ir 0.4421 0.1541 0.0000  4 Cr 2.46-2.60, 4 Ir 2.73
12 Cr 0.8303 0.2259 0.5000  2 Cr 2.18
13 Cr 0.7741 0.8303 0.5000  2 Cr 2.18
14 Cr 0.7259 0.6697 0.0000  2 Cr 2.18
15 Ir 0.9421 0.6541 0.5000  4 Cr 2.46-2.60, 4 Ir 2.73
16 Cr 0.1697 0.7741 0.5000  2 Cr 2.18